1.
# IrPdS2Cl

An optimized crystal structure of IrPdS2Cl (PBE-GGA, the Alexandria database).

Lattice parameters (Å, degrees): 4.6701 4.6701 4.6657 90.00 90.00 90.00
With the nearest neighbours (Å) after each atom.
Atoms (fractional coordinates):
Cl 0.0000 0.0000 0.5000  2 Pd 2.33
Ir 0.5000 0.5000 0.5000  8 S 3.30, 4 Cl 3.30
S 0.5000 0.0000 0.0000  2 Pd 2.34
S 0.0000 0.5000 0.0000  2 Pd 2.34
Pd 0.0000 0.0000 0.0000  2 Cl 2.33, 4 S 2.34

Results
**Volume**: 101.8 Å³ per cell
**Mass density**: 6.5 g/cm3
**Distance to the lowest polymorph of the same formula**: 0.557 eV/atom
**Uncorrected formation energy**: 1.17 eV per atom
**Total moment**: 2.38 Bohr magnetons per cell
**Space-group type**: P4/mmm


2.
# La6Cd2NO

An optimized crystal structure of La6Cd2NO (PBE-GGA, the Alexandria database).

Lattice parameters (Å, degrees): 7.2288 7.2286 10.2264 90.00 90.00 90.00
With the nearest neighbours (Å) after each atom.
Atoms (fractional coordinates):
La 0.2524 0.0023 0.5000  1 N 2.53, 1 O 2.58
La 0.0000 0.7500 0.7525  1 N 2.53, 1 O 2.58
La 0.0000 0.7500 0.2475  1 N 2.53, 1 O 2.58
La 0.7524 0.9977 0.0000  1 N 2.53, 1 O 2.58
La 0.7476 0.4975 0.5000  1 N 2.53, 1 O 2.58
La 0.5000 0.2500 0.2525  1 N 2.53, 1 O 2.58
La 0.7476 0.0023 0.5000  1 N 2.53, 1 O 2.58
La 0.2476 0.9977 0.0000  1 N 2.53, 1 O 2.58
La 0.2524 0.4975 0.5000  1 N 2.53, 1 O 2.58
La 0.5000 0.2500 0.7475  1 N 2.53, 1 O 2.58
La 0.7524 0.5025 0.0000  1 N 2.53, 1 O 2.58
La 0.2476 0.5025 0.0000  1 N 2.53, 1 O 2.58
N 0.0000 0.7501 0.0000  6 La 2.53
N 0.5000 0.2499 0.5000  6 La 2.53
Cd 0.5000 0.7500 0.2500  12 La 3.61-3.62
Cd 0.0000 0.2500 0.7500  12 La 3.61-3.62
Cd 0.5000 0.7500 0.7500  12 La 3.61-3.62
Cd 0.0000 0.2500 0.2500  12 La 3.61-3.62
O 0.0000 0.7499 0.5000  6 La 2.58
O 0.5000 0.2501 0.0000  6 La 2.58

Results
**Volume**: 534.4 Å³ per cell
**Mass density**: 6.8 g/cm3
**Uncorrected formation energy**: -1.03 eV per atom
**Total moment**: 0.00 Bohr magnetons per cell
**Space-group type**: Fm-3m


3.
# SmTm2Bi3

An optimized crystal structure of SmTm2Bi3 (PBE-GGA, the Alexandria database).

Lattice parameters (Å, degrees): 4.4759 6.3327 7.7517 114.11 106.78 90.00
With the nearest neighbours (Å) after each atom.
Atoms (fractional coordinates):
Bi 0.8284 0.3284 0.1569  4 Tm 3.13-3.17, 2 Sm 3.21
Bi 0.1716 0.6716 0.8431  4 Tm 3.13-3.17, 2 Sm 3.21
Bi 0.5000 0.0000 0.5000  4 Tm 3.15, 2 Sm 3.17
Tm 0.8350 0.8350 0.1700  6 Bi 3.13-3.17
Tm 0.1650 0.1650 0.8300  6 Bi 3.13-3.17
Sm 0.5000 0.5000 0.5000  6 Bi 3.17-3.21

Results
**Volume**: 190.3 Å³ per cell
**Mass density**: 9.7 g/cm3
**DFT formation energy**: -0.825 eV/atom
**Total moment**: 0.00 Bohr magnetons per cell
**Space-group type**: Immm


4.
# KCa3Mn

An optimized crystal structure of KCa3Mn (PBE-GGA, the Alexandria database).

Lattice parameters (Å, degrees): 5.6866 5.6866 5.6866 90.00 90.00 90.00
With the nearest neighbours (Å) after each atom.
Atoms (fractional coordinates):
Ca 0.0000 0.0000 0.5000  2 Mn 2.84
Ca 0.5000 0.0000 0.0000  2 Mn 2.84
Ca 0.0000 0.5000 0.0000  2 Mn 2.84
Mn 0.0000 0.0000 0.0000  6 Ca 2.84
K 0.5000 0.5000 0.5000  12 Ca 4.02

Results
**Volume**: 183.9 Å³ per cell
**Mass density**: 1.9 g/cm3
**Distance to the lowest polymorph of the same formula**: 0.000 eV/atom
**DFT formation energy**: 0.602 eV/atom
**Total moment**: 0.00 Bohr magnetons per cell
**Space-group type**: Pm-3m